The following is a GGA-PBE calculation of crystalline KBe2Pt2O6 at its relaxed geometry, from Alexandria.

a b c (Å): 5.4553 5.9765 6.4066
angles (deg): 68.51 66.81 85.13
Closest atoms and distances in Å follow each position.
Atoms (fractional coordinates):
1 K 0.0000 0.0000 0.0000  4 O 2.76-2.81
2 Be 0.3082 0.4386 0.1711  4 O 1.58-1.72
3 Be 0.6918 0.5614 0.8289  4 O 1.58-1.72
4 Pt 0.3025 0.6139 0.6680  4 O 1.90-2.02
5 Pt 0.6975 0.3861 0.3320  4 O 1.90-2.02
6 O 0.0475 0.2770 0.2562  1 Be 1.58
7 O 0.3331 0.5028 0.3971  1 Be 1.68
8 O 0.3835 0.6760 0.9186  2 Be 1.64-1.72
9 O 0.6165 0.3240 0.0814  2 Be 1.64-1.72
10 O 0.6669 0.4972 0.6029  1 Be 1.68
11 O 0.9525 0.7230 0.7438  1 Be 1.58

Properties
formation energy without anion corrections: -1.2520 eV per atom



The following is a GGA-PBE calculation of crystalline SiOsIN2 at its relaxed geometry, from Alexandria.

a b c (Å): 3.5943 3.5943 7.1573
angles (deg): 90.00 90.00 90.00
Closest atoms and distances in Å follow each position.
Atoms (fractional coordinates):
1 Si 0.0000 0.0000 0.0000  4 N 1.80
2 Os 0.5000 0.5000 0.5000  4 I 2.54
3 I 0.0000 0.0000 0.5000  4 Os 2.54
4 N 0.0000 0.5000 0.0000  2 Si 1.80
5 N 0.5000 0.0000 0.0000  2 Si 1.80

Properties
formation energy without anion corrections: 1.5164 eV per atom



The following is a GGA-PBE calculation of crystalline PrHoP at its relaxed geometry, from Alexandria.

a b c (Å): 3.9614 3.9614 6.6117
angles (deg): 90.00 90.00 120.00
Closest atoms and distances in Å follow each position.
Atoms (fractional coordinates):
1 Pr 0.0000 0.0000 0.0000  3 P 2.87
2 Ho 0.3333 0.6667 0.4910  3 P 2.74
3 P 0.6667 0.3333 0.2625  3 Ho 2.74, 3 Pr 2.87

Properties
E_form: -0.92 eV per atom



The following is a GGA-PBE calculation of crystalline K2Ba2Pt at its relaxed geometry, from Alexandria.

a b c (Å): 8.2867 8.2867 6.4670
angles (deg): 90.00 90.00 90.00
Closest atoms and distances in Å follow each position.
Atoms (fractional coordinates):
1 K 0.1509 0.3491 0.0000  2 Pt 3.15
2 K 0.3491 0.8491 0.0000  2 Pt 3.15
3 K 0.6509 0.1509 0.0000  2 Pt 3.15
4 K 0.8491 0.6509 0.0000  2 Pt 3.15
5 Ba 0.1930 0.6930 0.5000  2 K 3.72
6 Ba 0.3070 0.1930 0.5000  2 K 3.72
7 Ba 0.6930 0.8070 0.5000  2 K 3.72
8 Ba 0.8070 0.3070 0.5000  2 K 3.72
9 Pt 0.0000 0.0000 0.0000  4 K 3.15
10 Pt 0.5000 0.5000 0.0000  4 K 3.15

Properties
E_form: 0.23 eV per atom



The following is a GGA-PBE calculation of crystalline CeMg6Cd3 at its relaxed geometry, from Alexandria.

a b c (Å): 7.6873 7.4702 9.4564
angles (deg): 90.00 118.71 90.00
Closest atoms and distances in Å follow each position.
Atoms (fractional coordinates):
1 Ce 0.0000 0.0000 0.0000  4 Cd 3.21-3.57, 4 Mg 3.43-3.54
2 Ce 0.0000 0.5000 0.5000  4 Cd 3.21-3.57, 4 Mg 3.43-3.54
3 Mg 0.1522 0.0145 0.6676  5 Mg 2.91-3.17, 4 Cd 2.93-3.09
4 Mg 0.1522 0.4855 0.1676  5 Mg 2.91-3.17, 4 Cd 2.93-3.09
5 Mg 0.2526 0.6794 0.8798  2 Cd 2.80-2.93, 3 Mg 3.06-3.13
6 Mg 0.2526 0.8206 0.3798  2 Cd 2.80-2.93, 3 Mg 3.06-3.13
7 Mg 0.4682 0.1940 0.2562  4 Cd 2.90-3.17, 4 Mg 3.06-3.13
8 Mg 0.4682 0.3060 0.7562  4 Cd 2.90-3.17, 4 Mg 3.06-3.13
9 Mg 0.5318 0.6940 0.2438  4 Cd 2.90-3.17, 4 Mg 3.06-3.13
10 Mg 0.5318 0.8060 0.7438  4 Cd 2.90-3.17, 4 Mg 3.06-3.13
11 Mg 0.7474 0.1794 0.6202  2 Cd 2.80-2.93, 3 Mg 3.06-3.13
12 Mg 0.7474 0.3206 0.1202  2 Cd 2.80-2.93, 3 Mg 3.06-3.13
13 Mg 0.8478 0.5145 0.8324  5 Mg 2.91-3.17, 4 Cd 2.93-3.09
14 Mg 0.8478 0.9855 0.3324  5 Mg 2.91-3.17, 4 Cd 2.93-3.09
15 Cd 0.2024 0.1900 0.3937  5 Mg 2.80-3.09, 1 Cd 3.07
16 Cd 0.2024 0.3100 0.8937  5 Mg 2.80-3.09, 1 Cd 3.07
17 Cd 0.5000 0.0000 0.0000  8 Mg 2.93-3.17, 2 Cd 3.07
18 Cd 0.5000 0.5000 0.5000  8 Mg 2.93-3.17, 2 Cd 3.07
19 Cd 0.7976 0.6900 0.1063  5 Mg 2.80-3.09, 1 Cd 3.07
20 Cd 0.7976 0.8100 0.6063  5 Mg 2.80-3.09, 1 Cd 3.07

Properties
E_form: -0.07 eV per atom



The following is a GGA-PBE calculation of crystalline PmReH6 at its relaxed geometry, from Alexandria.

a b c (Å): 4.8278 4.8278 8.1352
angles (deg): 101.12 101.12 53.51
Closest atoms and distances in Å follow each position.
Atoms (fractional coordinates):
1 Pm 0.1605 0.8395 0.7500  12 H 2.38-2.52
2 Pm 0.8395 0.1605 0.2500  12 H 2.38-2.52
3 Re 0.0000 0.5000 0.0000  6 H 1.76-1.77
4 Re 0.5000 0.0000 0.5000  6 H 1.76-1.77
5 H 0.0651 0.2061 0.5344  1 Re 1.76
6 H 0.2061 0.0651 0.0344  1 Re 1.76
7 H 0.2180 0.3362 0.8158  1 Re 1.77
8 H 0.2934 0.5887 0.1171  1 Re 1.77
9 H 0.3362 0.2180 0.3158  1 Re 1.77
10 H 0.4113 0.7066 0.3829  1 Re 1.77
11 H 0.5887 0.2934 0.6171  1 Re 1.77
12 H 0.6638 0.7820 0.6842  1 Re 1.77
13 H 0.7066 0.4113 0.8829  1 Re 1.77
14 H 0.7820 0.6638 0.1842  1 Re 1.77
15 H 0.7939 0.9349 0.9656  1 Re 1.76
16 H 0.9349 0.7939 0.4656  1 Re 1.76

Properties
uncorrected energy: -75.65 eV per cell



The following is a GGA-PBE calculation of crystalline Pr2Sm3YAs6 at its relaxed geometry, from Alexandria.

a b c (Å): 9.4621 9.4621 8.4629
angles (deg): 102.94 102.94 25.86
Closest atoms and distances in Å follow each position.
Atoms (fractional coordinates):
1 Pr 0.1656 0.1656 0.3319  6 As 3.00-3.03
2 Pr 0.8344 0.8344 0.6681  6 As 3.00-3.03
3 Sm 0.1671 0.1671 0.8341  6 As 2.97-3.01
4 Sm 0.5000 0.5000 0.5000  6 As 2.97-3.02
5 Sm 0.8329 0.8329 0.1659  6 As 2.97-3.01
6 Y 0.5000 0.5000 0.0000  6 As 2.96-2.97
7 As 0.0018 0.0018 0.7546  3 Sm 2.97-3.02, 2 Y 2.97, 1 Pr 3.00
8 As 0.3345 0.3345 0.4136  3 Sm 2.97, 3 Pr 3.02-3.03
9 As 0.3349 0.3349 0.9215  1 Y 2.96, 3 Sm 2.97-3.01, 2 Pr 3.01
10 As 0.6651 0.6651 0.0785  1 Y 2.96, 3 Sm 2.97-3.01, 2 Pr 3.01
11 As 0.6655 0.6655 0.5864  3 Sm 2.97, 3 Pr 3.02-3.03
12 As 0.9982 0.9982 0.2454  3 Sm 2.97-3.02, 2 Y 2.97, 1 Pr 3.00

Properties
E_form: -1.52 eV per atom



The following is a GGA-PBE calculation of crystalline Zr2TiZn8 at its relaxed geometry, from Alexandria.

a b c (Å): 4.6400 5.6408 7.8271
angles (deg): 68.90 72.82 90.00
Closest atoms and distances in Å follow each position.
Atoms (fractional coordinates):
1 Zr 0.1911 0.1920 0.1167  12 Zn 2.81-2.97
2 Zr 0.8089 0.8080 0.8833  12 Zn 2.81-2.97
3 Ti 0.0000 0.5000 0.5000  2 Zn 2.68
4 Zn 0.1946 0.6941 0.1124  1 Ti 2.68, 4 Zr 2.81-2.82, 4 Zn 2.83-2.84
5 Zn 0.2437 0.9984 0.5000  2 Zn 2.26-2.38
6 Zn 0.3801 0.1559 0.7393  4 Zn 2.53-2.83
7 Zn 0.3816 0.6046 0.7389  4 Zn 2.53-2.83
8 Zn 0.6184 0.3954 0.2611  4 Zn 2.53-2.83
9 Zn 0.6199 0.8441 0.2607  4 Zn 2.53-2.83
10 Zn 0.7563 0.0016 0.5000  2 Zn 2.26-2.38
11 Zn 0.8054 0.3059 0.8876  1 Ti 2.68, 4 Zr 2.81-2.82, 4 Zn 2.83-2.84

Properties
E_form: -0.14 eV per atom



The following is a GGA-PBE calculation of crystalline CsCuSnCl4 at its relaxed geometry, from Alexandria.

a b c (Å): 6.6362 7.3136 9.5960
angles (deg): 90.00 109.62 90.00
Closest atoms and distances in Å follow each position.
Atoms (fractional coordinates):
1 Cs 0.2023 0.2500 0.4582  9 Cl 3.49-3.79
2 Cs 0.7977 0.7500 0.5418  9 Cl 3.49-3.79
3 Cu 0.0264 0.2500 0.8340  2 Cl 2.20-2.24
4 Cu 0.9736 0.7500 0.1660  2 Cl 2.20-2.24
5 Sn 0.3012 0.7500 0.0098  3 Cl 2.65-2.71
6 Sn 0.6988 0.2500 0.9902  3 Cl 2.65-2.71
7 Cl 0.1317 0.2500 0.0814  1 Cu 2.24
8 Cl 0.2313 0.7500 0.3815  1 Cu 2.20
9 Cl 0.2802 0.5041 0.8030  1 Cu 2.59, 1 Sn 2.65
10 Cl 0.2802 0.9959 0.8030  1 Cu 2.59, 1 Sn 2.65
11 Cl 0.7198 0.0041 0.1970  1 Cu 2.59, 1 Sn 2.65
12 Cl 0.7198 0.4959 0.1970  1 Cu 2.59, 1 Sn 2.65
13 Cl 0.7687 0.2500 0.6185  1 Cu 2.20
14 Cl 0.8683 0.7500 0.9186  1 Cu 2.24

Properties
formation energy without anion corrections: -1.1351 eV per atom



The following is a GGA-PBE calculation of crystalline DyGe2PdPt at its relaxed geometry, from Alexandria.

a b c (Å): 5.7953 5.7953 8.6114
angles (deg): 111.15 111.15 44.50
Closest atoms and distances in Å follow each position.
Atoms (fractional coordinates):
1 Dy 0.1936 0.1936 0.1813  6 Ge 2.98-3.27, 4 Pt 3.08-3.19
2 Dy 0.8064 0.8064 0.8187  6 Ge 2.98-3.27, 4 Pt 3.08-3.19
3 Ge 0.1593 0.1593 0.5418  3 Pd 2.47-2.60, 1 Pt 2.52
4 Ge 0.4340 0.4340 0.0888  1 Ge 2.46, 2 Pt 2.49, 1 Pd 2.56
5 Ge 0.5660 0.5660 0.9112  1 Ge 2.46, 2 Pt 2.49, 1 Pd 2.56
6 Ge 0.8407 0.8407 0.4582  3 Pd 2.47-2.60, 1 Pt 2.52
7 Pd 0.4150 0.4150 0.5960  4 Ge 2.47-2.60
8 Pd 0.5850 0.5850 0.4040  4 Ge 2.47-2.60
9 Pt 0.0807 0.0807 0.7821  3 Ge 2.49-2.52
10 Pt 0.9193 0.9193 0.2179  3 Ge 2.49-2.52

Properties
E_form: -0.80 eV per atom



The following is a GGA-PBE calculation of crystalline K3Nd2SmTe6 at its relaxed geometry, from Alexandria.

a b c (Å): 7.9743 7.9743 8.6758
angles (deg): 98.81 98.81 120.00
Closest atoms and distances in Å follow each position.
Atoms (fractional coordinates):
1 K 0.0000 0.0000 0.0000  6 Te 3.55-3.57
2 K 0.3327 0.6673 0.0000  6 Te 3.55-3.57
3 K 0.6673 0.3327 0.0000  6 Te 3.55-3.57
4 Nd 0.1665 0.8335 0.5000  6 Te 3.20
5 Nd 0.8335 0.1665 0.5000  6 Te 3.20
6 Sm 0.5000 0.5000 0.5000  6 Te 3.17
7 Te 0.0981 0.4288 0.2861  1 Sm 3.17, 2 Nd 3.20, 2 K 3.55
8 Te 0.2408 0.2408 0.7142  1 Sm 3.17, 2 Nd 3.20, 2 K 3.55
9 Te 0.4288 0.0981 0.2861  1 Sm 3.17, 2 Nd 3.20, 2 K 3.55
10 Te 0.5712 0.9019 0.7139  1 Sm 3.17, 2 Nd 3.20, 2 K 3.55
11 Te 0.7592 0.7592 0.2858  1 Sm 3.17, 2 Nd 3.20, 2 K 3.55
12 Te 0.9019 0.5712 0.7139  1 Sm 3.17, 2 Nd 3.20, 2 K 3.55

Properties
formation energy without anion corrections: -1.4158 eV per atom



The following is a GGA-PBE calculation of crystalline SrMnTe2 at its relaxed geometry, from Alexandria.

a b c (Å): 4.3091 3.9867 7.6617
angles (deg): 90.00 99.55 90.00
Closest atoms and distances in Å follow each position.
Atoms (fractional coordinates):
1 Sr 0.0000 0.0000 0.0000  8 Te 3.49-3.54
2 Mn 0.5000 0.0000 0.5000  4 Te 2.78
3 Te 0.4325 0.5000 0.7441  2 Mn 2.78
4 Te 0.5675 0.5000 0.2559  2 Mn 2.78

Properties
formation energy without anion corrections: -0.6692 eV per atom